No. 1
Computed, not measured: crystalline CuOs at its relaxed geometry at the PBE level of DFT.

Energy above the most stable polymorph in this dataset in eV per formula unit: 2.26
Uncorrected energy in Ry/atom: -0.4652
SG: P6_3/mmc (194)

abc: 3.881 3.881 4.502
angles: 90.00 90.00 120.00
Element x y z (fractional)
Cu1 0.000 0.000 0.000
Cu2 0.000 0.000 0.500
Os1 0.333 0.667 0.250
Os2 0.667 0.333 0.750



No. 2
Computed, not measured: crystalline CuOs at its relaxed geometry at the PBE level of DFT.

Energy above the most stable polymorph in this dataset in eV per formula unit: 0.72
Uncorrected energy in Ry/atom: -0.5218
SG: P4/mmm (123)

abc: 2.599 2.599 3.980
angles: 90.00 90.00 90.00
Element x y z (fractional)
Cu1 0.000 0.000 0.000
Os1 0.500 0.500 0.500



No. 3
Computed, not measured: crystalline CuOs3 at its relaxed geometry at the PBE level of DFT.

Energy above the most stable polymorph in this dataset in eV per formula unit: 0.52
Uncorrected energy in Ry/atom: -0.6734
SG: Cmcm (63)

abc: 5.468 5.468 4.332
angles: 90.00 90.00 120.86
Element x y z (fractional)
Cu1 0.079 0.921 0.750
Cu2 0.921 0.079 0.250
Os1 0.070 0.406 0.750
Os2 0.406 0.070 0.250
Os3 0.421 0.579 0.250
Os4 0.579 0.421 0.750
Os5 0.594 0.930 0.750
Os6 0.930 0.594 0.250



No. 4
Computed, not measured: crystalline Cu4Os at its relaxed geometry at the PBE level of DFT.

Energy above the most stable polymorph in this dataset in eV per formula unit: 7.07
Uncorrected energy in Ry/atom: -0.2907
SG: Pm-3m (221)

abc: 4.625 4.625 4.625
angles: 90.00 90.00 90.00
Element x y z (fractional)
Cu1 0.000 0.000 0.000
Cu2 0.000 0.500 0.500
Cu3 0.500 0.000 0.500
Cu4 0.500 0.500 0.000
Os1 0.500 0.500 0.500



No. 5
Computed, not measured: crystalline Cu2Os at its relaxed geometry at the PBE level of DFT.

Energy above the most stable polymorph in this dataset in eV per formula unit: 0.66
Uncorrected energy in Ry/atom: -0.4443
SG: I4_1/amd (141)

abc: 12.443 12.443 12.443
angles: 168.16 168.16 16.77
Element x y z (fractional)
Cu1 0.294 0.544 0.750
Cu2 0.456 0.706 0.750
Cu3 0.544 0.294 0.250
Cu4 0.706 0.456 0.250
Os1 0.125 0.875 0.250
Os2 0.875 0.125 0.750



No. 6
Computed, not measured: crystalline CuOs2 at its relaxed geometry at the PBE level of DFT.

Energy above the most stable polymorph in this dataset in eV per formula unit: 0.05
Uncorrected energy in Ry/atom: -0.6335
SG: Immm (71)

abc: 4.612 4.612 4.612
angles: 145.21 132.37 60.31
Element x y z (fractional)
Cu1 0.000 0.000 0.000
Os1 0.329 0.329 0.000
Os2 0.671 0.671 0.000



No. 7
Computed, not measured: crystalline Cu5Os3 at its relaxed geometry at the PBE level of DFT.

Uncorrected energy in Ry/atom: -0.4680
SG: Cmmm (65)

abc: 5.351 5.351 3.656
angles: 90.00 90.00 92.78
Element x y z (fractional)
Cu1 0.000 0.000 0.000
Cu2 0.000 0.500 0.000
Cu3 0.237 0.763 0.500
Cu4 0.500 0.000 0.000
Cu5 0.763 0.237 0.500
Os1 0.260 0.260 0.500
Os2 0.500 0.500 0.000
Os3 0.740 0.740 0.500



No. 8
Computed, not measured: crystalline CuOs2 at its relaxed geometry at the PBE level of DFT.

Energy above the most stable polymorph in this dataset in eV per formula unit: 3.84
Uncorrected energy in Ry/atom: -0.5407
SG: Pa-3 (205)

abc: 5.767 5.767 5.767
angles: 90.00 90.00 90.00
Element x y z (fractional)
Cu1 0.000 0.000 0.000
Cu2 0.000 0.500 0.500
Cu3 0.500 0.000 0.500
Cu4 0.500 0.500 0.000
Os1 0.115 0.615 0.885
Os2 0.115 0.885 0.385
Os3 0.385 0.115 0.885
Os4 0.385 0.385 0.385
Os5 0.615 0.615 0.615
Os6 0.615 0.885 0.115
Os7 0.885 0.115 0.615
Os8 0.885 0.385 0.115



| no. | energy of formation (eV per atom) |
| --- | --- |
| 1 | 1.33 |
| 2 | 0.56 |
| 3 | 0.28 |
| 4 | 1.57 |
| 5 | 0.43 |
| 6 | 0.23 |
| 7 | 0.40 |
| 8 | 1.50 |